KInTe3 (PBE, relaxed); Fermi-level density of states = 7.39 states/eV/f.u.; polymorph energy (0 for the lowest one) = 866 meV/atom; energy relative to the elements, uncorrected = 0.56 eV/atom; total magnetic moment = 0.000 μB per atom; energy = -10.45 eV for the cell shown
1.0
6.102 0.000 0.000
0.000 6.102 0.000
0.000 0.000 6.102
K In Te
1 1 3
direct
0.000 0.000 0.000 K
0.500 0.500 0.500 In
0.000 0.500 0.000 Te
0.000 0.000 0.500 Te
0.500 0.000 0.000 Te